(1)
# KReTc2, optimized geometry, DFT PBE
# ΔH_f (0 K) = 0.82 eV per atom
# Density of states at the Fermi level = 8.22 states/eV per cell
data_KReTc2
_symmetry_space_group_name_H-M 'C m m 2'
_symmetry_Int_Tables_number 35
_cell_length_a 2.9469
_cell_length_b 4.5763
_cell_length_c 10.4597
_cell_angle_alpha 90.00
_cell_angle_beta 90.00
_cell_angle_gamma 90.00
loop_
_symmetry_equiv_pos_as_xyz
'x,y,z'
'-x,-y,z'
'-x,y,z'
'x,-y,z'
'x+1/2,y+1/2,z'
'-x+1/2,-y+1/2,z'
'-x+1/2,y+1/2,z'
'x+1/2,-y+1/2,z'
loop_
_atom_site_label
_atom_site_fract_x
_atom_site_fract_y
_atom_site_fract_z
K1 0.0000 0.0000 0.0000
Re1 0.0000 0.5000 0.2898
Tc1 0.0000 0.0000 0.5012
Tc2 0.0000 0.5000 0.7106

---

(2)
# CeSm2As3Rh4, optimized geometry, DFT PBE
# ΔH_f (0 K) = -0.95 eV per atom
# Density of states at the Fermi level = 7.61 states/eV per cell
data_CeSm2As3Rh4
_symmetry_space_group_name_H-M 'P -4 m 2'
_symmetry_Int_Tables_number 115
_cell_length_a 4.1745
_cell_length_b 4.1745
_cell_length_c 11.2717
_cell_angle_alpha 90.00
_cell_angle_beta 90.00
_cell_angle_gamma 90.00
loop_
_symmetry_equiv_pos_as_xyz
'x,y,z'
'y,-x,-z'
'-x,-y,z'
'-y,x,-z'
'-x,y,z'
'-y,-x,-z'
'x,-y,z'
'y,x,-z'
loop_
_atom_site_label
_atom_site_fract_x
_atom_site_fract_y
_atom_site_fract_z
Ce1 0.0000 0.0000 0.0000
Sm1 0.0000 0.5000 0.7146
As1 0.0000 0.5000 0.3685
As2 0.5000 0.5000 0.0000
Rh1 0.0000 0.0000 0.5000
Rh2 0.0000 0.5000 0.1516
Rh3 0.5000 0.5000 0.5000

---

(3)
# AcNdIr2, optimized geometry, DFT PBE
# ΔH_f (0 K) = -0.59 eV per atom
# Density of states at the Fermi level = 4.10 states/eV per cell
data_AcNdIr2
_symmetry_space_group_name_H-M 'A m m 2'
_symmetry_Int_Tables_number 38
_cell_length_a 4.2992
_cell_length_b 4.1631
_cell_length_c 11.2138
_cell_angle_alpha 90.00
_cell_angle_beta 90.00
_cell_angle_gamma 90.00
loop_
_symmetry_equiv_pos_as_xyz
'x,y,z'
'-x,-y,z'
'-x,y,z'
'x,-y,z'
'x,y+1/2,z+1/2'
'-x,-y+1/2,z+1/2'
'-x,y+1/2,z+1/2'
'x,-y+1/2,z+1/2'
loop_
_atom_site_label
_atom_site_fract_x
_atom_site_fract_y
_atom_site_fract_z
Ac1 0.0000 0.0000 0.0000
Nd1 0.5000 0.0000 0.2865
Ir1 0.0000 0.0000 0.7227
Ir2 0.5000 0.0000 0.5717

---

(4)
# CdIn2Fe2, optimized geometry, DFT PBE
# ΔH_f (0 K) = 0.24 eV per atom
# Density of states at the Fermi level = 6.62 states/eV per cell
data_CdIn2Fe2
_symmetry_space_group_name_H-M 'P 4/m b m'
_symmetry_Int_Tables_number 127
_symmetry_space_group_name_Hall '-P 4 2ab'
_cell_length_a 7.0975
_cell_length_b 7.0975
_cell_length_c 3.5687
_cell_angle_alpha 90.00
_cell_angle_beta 90.00
_cell_angle_gamma 90.00
loop_
_atom_site_label
_atom_site_fract_x
_atom_site_fract_y
_atom_site_fract_z
Cd1 0.0000 0.0000 0.0000
In1 0.1718 0.3282 0.5000
Fe1 0.1194 0.6194 0.0000

---

(5)
# BrCl3F2, optimized geometry, DFT PBE
# Formation energy from raw total energies = -9.2 kcal/mol of atoms
# Density of states at the Fermi level = 0.00 states/eV per cell
data_BrCl3F2
_symmetry_space_group_name_H-M 'P -1'
_symmetry_Int_Tables_number 2
_cell_length_a 5.4858
_cell_length_b 7.2784
_cell_length_c 9.5523
_cell_angle_alpha 99.01
_cell_angle_beta 101.12
_cell_angle_gamma 103.76
loop_
_symmetry_equiv_pos_as_xyz
'x,y,z'
'-x,-y,-z'
loop_
_atom_site_label
_atom_site_fract_x
_atom_site_fract_y
_atom_site_fract_z
Br1 0.1729 0.4865 0.1796
Cl1 0.2232 0.0793 0.7894
Cl2 0.2333 0.8845 0.6194
Cl3 0.4396 0.3227 0.2637
F1 0.1524 0.3647 0.9768
F2 0.1782 0.6114 0.3684

---

(6)
# Hf2ThSc, optimized geometry, DFT PBE
# ΔH_f (0 K) = 0.14 eV per atom
# Density of states at the Fermi level = 19.53 states/eV per cell
data_Hf2ThSc
_symmetry_space_group_name_H-M 'R 3 m'
_symmetry_Int_Tables_number 160
_symmetry_space_group_name_Hall 'R 3 -2"'
_cell_length_a 3.2881
_cell_length_b 3.2881
_cell_length_c 32.0842
_cell_angle_alpha 90.00
_cell_angle_beta 90.00
_cell_angle_gamma 120.00
loop_
_atom_site_label
_atom_site_fract_x
_atom_site_fract_y
_atom_site_fract_z
Hf1 0.0000 0.0000 0.0000
Hf2 0.0000 0.0000 0.1730
Th1 0.0000 0.0000 0.4201
Sc1 0.0000 0.0000 0.5865